Record 1
# AcNdPd2 | Alexandria | GGA-PBE | optimized geometry
data_AcNdPd2
_chemical_formula_sum 'Ac3 Nd3 Pd6'
_space_group_name_H-M_alt 'R -3 m'
_space_group_IT_number 166
_space_group_name_Hall '-R 3 2"'
_cell_length_a 4.3181
_cell_length_b 4.3181
_cell_length_c 21.0633
_cell_angle_alpha 90.00
_cell_angle_beta 90.00
_cell_angle_gamma 120.00
loop_
_atom_site_label
_atom_site_fract_x
_atom_site_fract_y
_atom_site_fract_z
_atom_site_occupancy
Ac1 0.0000 0.0000 0.0000 1
Nd1 0.0000 0.0000 0.5000 1
Pd1 0.0000 0.0000 0.2461 1
# Crystal system: trigonal
# Raw total energy, eV for the cell shown: -66.489
# ΔH_f (0 K), eV/atom: -0.725
# E above lowest polymorph, meV per atom: 73
# Mass density, g cm⁻³: 8.55

Record 2
# Ac3Nd2Pd2 | Alexandria | GGA-PBE | optimized geometry
data_Ac3Nd2Pd2
_chemical_formula_sum 'Ac6 Nd4 Pd4'
_space_group_name_H-M_alt 'C 1 2/m 1'
_space_group_IT_number 12
_cell_length_a 13.132
_cell_length_b 4.047
_cell_length_c 9.569
_cell_angle_alpha 90.00
_cell_angle_beta 113.89
_cell_angle_gamma 90.00
loop_
_space_group_symop_operation_xyz
'x,y,z'
'-x,-y,-z'
'-x,y,-z'
'x,-y,z'
'x+1/2,y+1/2,z'
'-x+1/2,-y+1/2,-z'
'-x+1/2,y+1/2,-z'
'x+1/2,-y+1/2,z'
loop_
_atom_site_label
_atom_site_fract_x
_atom_site_fract_y
_atom_site_fract_z
_atom_site_occupancy
Ac1 0.000 0.000 0.000 1
Ac2 0.116 0.000 0.437 1
Nd1 0.169 0.500 0.814 1
Pd1 0.168 0.500 0.217 1
# Crystal system: monoclinic
# Raw total energy, eV for the cell shown: -70.405
# ΔH_f (0 K), eV/atom: -0.422
# Mass density, g cm⁻³: 8.44

Record 3
# AcNdPd2 | Alexandria | GGA-PBE | optimized geometry
data_AcNdPd2
_chemical_formula_sum 'Ac3 Nd3 Pd6'
_space_group_name_H-M_alt 'R 3 m'
_space_group_IT_number 160
_space_group_name_Hall 'R 3 -2"'
_cell_length_a 4.2357
_cell_length_b 4.2357
_cell_length_c 22.1495
_cell_angle_alpha 90.00
_cell_angle_beta 90.00
_cell_angle_gamma 120.00
loop_
_atom_site_label
_atom_site_fract_x
_atom_site_fract_y
_atom_site_fract_z
_atom_site_occupancy
Ac1 0.0000 0.0000 0.0000 1
Nd1 0.0000 0.0000 0.8271 1
Pd1 0.0000 0.0000 0.2438 1
Pd2 0.0000 0.0000 0.4174 1
# Crystal system: trigonal
# Raw total energy, eV for the cell shown: -65.602
# ΔH_f (0 K), eV/atom: -0.651
# E above lowest polymorph, meV per atom: 147
# Mass density, g cm⁻³: 8.45

Record 4
# Ac2Nd2Pd15 | Alexandria | GGA-PBE | optimized geometry
data_Ac2Nd2Pd15
_chemical_formula_sum 'Ac6 Nd6 Pd45'
_space_group_name_H-M_alt 'R -3 m'
_space_group_IT_number 166
_space_group_name_Hall '-R 3 2"'
_cell_length_a 9.4080
_cell_length_b 9.4080
_cell_length_c 14.3591
_cell_angle_alpha 90.00
_cell_angle_beta 90.00
_cell_angle_gamma 120.00
loop_
_atom_site_label
_atom_site_fract_x
_atom_site_fract_y
_atom_site_fract_z
_atom_site_occupancy
Ac1 0.0000 0.0000 0.1404 1
Nd1 0.0000 0.0000 0.3920 1
Pd1 0.0000 0.3057 0.5000 1
Pd2 0.0000 0.5000 0.0000 1
Pd3 0.0060 0.5030 0.6535 1
# Crystal system: trigonal
# Raw total energy, eV for the cell shown: -319.768
# ΔH_f (0 K), eV/atom: -0.576
# Mass density, g cm⁻³: 10.59

Record 5
# AcNd3Pd12 | Alexandria | GGA-PBE | optimized geometry
data_AcNd3Pd12
_chemical_formula_sum 'Ac1 Nd3 Pd12'
_space_group_name_H-M_alt 'P 4/m m m'
_space_group_IT_number 123
_space_group_name_Hall '-P 4 2'
_cell_length_a 4.226
_cell_length_b 4.226
_cell_length_c 16.968
_cell_angle_alpha 90.00
_cell_angle_beta 90.00
_cell_angle_gamma 90.00
loop_
_atom_site_label
_atom_site_fract_x
_atom_site_fract_y
_atom_site_fract_z
_atom_site_occupancy
Ac1 0.000 0.000 0.000 1
Nd1 0.000 0.000 0.254 1
Nd2 0.000 0.000 0.500 1
Pd1 0.000 0.500 0.130 1
Pd2 0.000 0.500 0.377 1
Pd3 0.500 0.500 0.000 1
Pd4 0.500 0.500 0.253 1
Pd5 0.500 0.500 0.500 1
# Crystal system: tetragonal
# Raw total energy, eV for the cell shown: -92.802
# ΔH_f (0 K), eV/atom: -0.755
# Mass density, g cm⁻³: 10.61

Record 6
# AcNd3Pd2 | Alexandria | GGA-PBE | optimized geometry
data_AcNd3Pd2
_chemical_formula_sum 'Ac4 Nd12 Pd8'
_space_group_name_H-M_alt 'C 1 2/m 1'
_space_group_IT_number 12
_cell_length_a 18.516
_cell_length_b 3.991
_cell_length_c 10.216
_cell_angle_alpha 90.00
_cell_angle_beta 107.78
_cell_angle_gamma 90.00
loop_
_space_group_symop_operation_xyz
'x,y,z'
'-x,-y,-z'
'-x,y,-z'
'x,-y,z'
'x+1/2,y+1/2,z'
'-x+1/2,-y+1/2,-z'
'-x+1/2,y+1/2,-z'
'x+1/2,-y+1/2,z'
loop_
_atom_site_label
_atom_site_fract_x
_atom_site_fract_y
_atom_site_fract_z
_atom_site_occupancy
Ac1 0.110 0.000 0.129 1
Nd1 0.033 0.000 0.670 1
Nd2 0.158 0.500 0.488 1
Nd3 0.188 0.500 0.867 1
Pd1 0.021 0.500 0.874 1
Pd2 0.247 0.000 0.707 1
# Crystal system: monoclinic
# Raw total energy, eV for the cell shown: -127.212
# ΔH_f (0 K), eV/atom: -0.501
# E above lowest polymorph, meV per atom: 0
# Mass density, g cm⁻³: 8.06

Record 7
# Ac3Nd4Pd4 | Alexandria | GGA-PBE | optimized geometry
data_Ac3Nd4Pd4
_chemical_formula_sum 'Ac6 Nd8 Pd8'
_space_group_name_H-M_alt 'I m m m'
_space_group_IT_number 71
_space_group_name_Hall '-I 2 2'
_cell_length_a 4.943
_cell_length_b 7.988
_cell_length_c 16.406
_cell_angle_alpha 90.00
_cell_angle_beta 90.00
_cell_angle_gamma 90.00
loop_
_atom_site_label
_atom_site_fract_x
_atom_site_fract_y
_atom_site_fract_z
_atom_site_occupancy
Ac1 0.000 0.000 0.000 1
Ac2 0.000 0.500 0.105 1
Nd1 0.000 0.284 0.327 1
Pd1 0.000 0.000 0.207 1
Pd2 0.000 0.184 0.500 1
# Crystal system: orthorhombic
# Raw total energy, eV for the cell shown: -115.544
# ΔH_f (0 K), eV/atom: -0.509
# Mass density, g cm⁻³: 8.63

Record 8
# Ac3NdPd | Alexandria | GGA-PBE | optimized geometry
data_Ac3NdPd
_chemical_formula_sum 'Ac3 Nd1 Pd1'
_space_group_name_H-M_alt 'P m -3 m'
_space_group_IT_number 221
_space_group_name_Hall '-P 4 2 3'
_cell_length_a 5.952
_cell_length_b 5.952
_cell_length_c 5.952
_cell_angle_alpha 90.00
_cell_angle_beta 90.00
_cell_angle_gamma 90.00
loop_
_atom_site_label
_atom_site_fract_x
_atom_site_fract_y
_atom_site_fract_z
_atom_site_occupancy
Ac1 0.000 0.000 0.500 1
Nd1 0.500 0.500 0.500 1
Pd1 0.000 0.000 0.000 1
# Crystal system: cubic
# Raw total energy, eV for the cell shown: -22.903
# ΔH_f (0 K), eV/atom: -0.123
# Mass density, g cm⁻³: 7.34

Record 9
# AcNd3Pd | Alexandria | GGA-PBE | optimized geometry
data_AcNd3Pd
_chemical_formula_sum 'Ac4 Nd12 Pd4'
_space_group_name_H-M_alt 'P 1 21/c 1'
_space_group_IT_number 14
_cell_length_a 8.506
_cell_length_b 7.655
_cell_length_c 10.553
_cell_angle_alpha 90.00
_cell_angle_beta 106.90
_cell_angle_gamma 90.00
loop_
_space_group_symop_operation_xyz
'x,y,z'
'-x,-y,-z'
'-x,y+1/2,-z+1/2'
'x,-y+1/2,z+1/2'
loop_
_atom_site_label
_atom_site_fract_x
_atom_site_fract_y
_atom_site_fract_z
_atom_site_occupancy
Ac1 0.183 0.033 0.258 1
Nd1 0.053 0.707 0.020 1
Nd2 0.283 0.511 0.379 1
Nd3 0.410 0.132 0.608 1
Pd1 0.430 0.745 0.604 1
# Crystal system: monoclinic
# Raw total energy, eV for the cell shown: -99.318
# ΔH_f (0 K), eV/atom: -0.245
# Mass density, g cm⁻³: 7.74

Record 10
# AcNd4Pd2 | Alexandria | GGA-PBE | optimized geometry
data_AcNd4Pd2
_chemical_formula_sum 'Ac2 Nd8 Pd4'
_space_group_name_H-M_alt 'P 1 21/m 1'
_space_group_IT_number 11
_cell_length_a 8.045
_cell_length_b 6.787
_cell_length_c 8.460
_cell_angle_alpha 90.00
_cell_angle_beta 112.14
_cell_angle_gamma 90.00
loop_
_space_group_symop_operation_xyz
'x,y,z'
'-x,-y,-z'
'-x,y+1/2,-z'
'x,-y+1/2,z'
loop_
_atom_site_label
_atom_site_fract_x
_atom_site_fract_y
_atom_site_fract_z
_atom_site_occupancy
Ac1 0.143 0.250 0.022 1
Nd1 0.023 0.250 0.397 1
Nd2 0.258 0.750 0.356 1
Nd3 0.400 0.007 0.764 1
Pd1 0.267 0.750 0.998 1
Pd2 0.379 0.250 0.406 1
# Crystal system: monoclinic
# Raw total energy, eV for the cell shown: -72.224
# ΔH_f (0 K), eV/atom: -0.364
# Mass density, g cm⁻³: 7.89

Record 11
# Ac4Nd3Pd2 | Alexandria | GGA-PBE | optimized geometry
data_Ac4Nd3Pd2
_chemical_formula_sum 'Ac8 Nd6 Pd4'
_space_group_name_H-M_alt 'C 1 2/m 1'
_space_group_IT_number 12
_cell_length_a 18.287
_cell_length_b 4.037
_cell_length_c 9.629
_cell_angle_alpha 90.00
_cell_angle_beta 115.54
_cell_angle_gamma 90.00
loop_
_space_group_symop_operation_xyz
'x,y,z'
'-x,-y,-z'
'-x,y,-z'
'x,-y,z'
'x+1/2,y+1/2,z'
'-x+1/2,-y+1/2,-z'
'-x+1/2,y+1/2,-z'
'x+1/2,-y+1/2,z'
loop_
_atom_site_label
_atom_site_fract_x
_atom_site_fract_y
_atom_site_fract_z
_atom_site_occupancy
Ac1 0.122 0.000 0.383 1
Ac2 0.231 0.500 0.158 1
Nd1 0.000 0.500 0.000 1
Nd2 0.076 0.500 0.691 1
Pd1 0.104 0.000 0.939 1
# Crystal system: monoclinic
# Raw total energy, eV for the cell shown: -87.988
# ΔH_f (0 K), eV/atom: -0.319
# Mass density, g cm⁻³: 8.05

Record 12
# AcNdPd4 | Alexandria | GGA-PBE | optimized geometry
data_AcNdPd4
_chemical_formula_sum 'Ac4 Nd4 Pd16'
_space_group_name_H-M_alt 'F -4 3 m'
_space_group_IT_number 216
_space_group_name_Hall 'F -4 2 3'
_cell_length_a 7.931
_cell_length_b 7.931
_cell_length_c 7.931
_cell_angle_alpha 90.00
_cell_angle_beta 90.00
_cell_angle_gamma 90.00
loop_
_atom_site_label
_atom_site_fract_x
_atom_site_fract_y
_atom_site_fract_z
_atom_site_occupancy
Ac1 0.000 0.000 0.000 1
Nd1 0.250 0.250 0.750 1
Pd1 0.125 0.125 0.375 1
# Crystal system: cubic
# Raw total energy, eV for the cell shown: -136.801
# ΔH_f (0 K), eV/atom: -0.759
# E above lowest polymorph, meV per atom: 18
# Mass density, g cm⁻³: 10.61

Record 13
# AcNdPd4 | Alexandria | GGA-PBE | optimized geometry
data_AcNdPd4
_chemical_formula_sum 'Ac4 Nd4 Pd16'
_space_group_name_H-M_alt 'C m c m'
_space_group_IT_number 63
_space_group_name_Hall '-C 2c 2'
_cell_length_a 4.364
_cell_length_b 20.394
_cell_length_c 5.949
_cell_angle_alpha 90.00
_cell_angle_beta 90.00
_cell_angle_gamma 90.00
loop_
_atom_site_label
_atom_site_fract_x
_atom_site_fract_y
_atom_site_fract_z
_atom_site_occupancy
Ac1 0.000 0.220 0.250 1
Nd1 0.000 0.074 0.750 1
Pd1 0.000 0.070 0.250 1
Pd2 0.000 0.358 0.511 1
Pd3 0.000 0.500 0.000 1
# Crystal system: orthorhombic
# Raw total energy, eV for the cell shown: -137.232
# ΔH_f (0 K), eV/atom: -0.777
# E above lowest polymorph, meV per atom: 0
# Mass density, g cm⁻³: 10.00

Record 14
# Ac3NdPd12 | Alexandria | GGA-PBE | optimized geometry
data_Ac3NdPd12
_chemical_formula_sum 'Ac3 Nd1 Pd12'
_space_group_name_H-M_alt 'P 4/m m m'
_space_group_IT_number 123
_space_group_name_Hall '-P 4 2'
_cell_length_a 4.284
_cell_length_b 4.284
_cell_length_c 17.176
_cell_angle_alpha 90.00
_cell_angle_beta 90.00
_cell_angle_gamma 90.00
loop_
_atom_site_label
_atom_site_fract_x
_atom_site_fract_y
_atom_site_fract_z
_atom_site_occupancy
Ac1 0.000 0.000 0.000 1
Ac2 0.000 0.000 0.254 1
Nd1 0.000 0.000 0.500 1
Pd1 0.000 0.500 0.127 1
Pd2 0.000 0.500 0.380 1
Pd3 0.500 0.500 0.000 1
Pd4 0.500 0.500 0.253 1
Pd5 0.500 0.500 0.500 1
# Crystal system: tetragonal
# Raw total energy, eV for the cell shown: -91.190
# ΔH_f (0 K), eV/atom: -0.736
# Mass density, g cm⁻³: 11.07

Record 15
# Ac2Nd3Pd4 | Alexandria | GGA-PBE | optimized geometry
data_Ac2Nd3Pd4
_chemical_formula_sum 'Ac4 Nd6 Pd8'
_space_group_name_H-M_alt 'P 1 21/c 1'
_space_group_IT_number 14
_cell_length_a 7.836
_cell_length_b 7.896
_cell_length_c 8.466
_cell_angle_alpha 90.00
_cell_angle_beta 108.40
_cell_angle_gamma 90.00
loop_
_space_group_symop_operation_xyz
'x,y,z'
'-x,-y,-z'
'-x,y+1/2,-z+1/2'
'x,-y+1/2,z+1/2'
loop_
_atom_site_label
_atom_site_fract_x
_atom_site_fract_y
_atom_site_fract_z
_atom_site_occupancy
Ac1 0.200 0.173 0.095 1
Nd1 0.244 0.662 0.251 1
Nd2 0.500 0.000 0.500 1
Pd1 0.094 0.539 0.879 1
Pd2 0.498 0.631 0.622 1
# Crystal system: monoclinic
# Raw total energy, eV for the cell shown: -99.618
# ΔH_f (0 K), eV/atom: -0.724
# Mass density, g cm⁻³: 8.77

Record 16
# AcNd4Pd4 | Alexandria | GGA-PBE | optimized geometry
data_AcNd4Pd4
_chemical_formula_sum 'Ac2 Nd8 Pd8'
_space_group_name_H-M_alt 'P 42/n'
_space_group_IT_number 86
_cell_length_a 9.439
_cell_length_b 9.439
_cell_length_c 5.948
_cell_angle_alpha 90.00
_cell_angle_beta 90.00
_cell_angle_gamma 90.00
loop_
_space_group_symop_operation_xyz
'x,y,z'
'-x,-y,-z'
'-y,x+1/2,z+1/2'
'y,-x+1/2,-z+1/2'
'-x+1/2,-y+1/2,z'
'x+1/2,y+1/2,-z'
'y+1/2,-x,z+1/2'
'-y+1/2,x,-z+1/2'
loop_
_atom_site_label
_atom_site_fract_x
_atom_site_fract_y
_atom_site_fract_z
_atom_site_occupancy
Ac1 0.250 0.250 0.250 1
Nd1 0.075 0.653 0.170 1
Pd1 0.041 0.623 0.667 1
# Crystal system: tetragonal
# Raw total energy, eV for the cell shown: -98.924
# ΔH_f (0 K), eV/atom: -0.612
# Mass density, g cm⁻³: 7.71

Record 17
# AcNd3Pd2 | Alexandria | GGA-PBE | optimized geometry
data_AcNd3Pd2
_chemical_formula_sum 'Ac4 Nd12 Pd8'
_space_group_name_H-M_alt 'C 1 2/m 1'
_space_group_IT_number 12
_cell_length_a 16.890
_cell_length_b 5.219
_cell_length_c 9.020
_cell_angle_alpha 90.00
_cell_angle_beta 117.89
_cell_angle_gamma 90.00
loop_
_space_group_symop_operation_xyz
'x,y,z'
'-x,-y,-z'
'-x,y,-z'
'x,-y,z'
'x+1/2,y+1/2,z'
'-x+1/2,-y+1/2,-z'
'-x+1/2,y+1/2,-z'
'x+1/2,-y+1/2,z'
loop_
_atom_site_label
_atom_site_fract_x
_atom_site_fract_y
_atom_site_fract_z
_atom_site_occupancy
Ac1 0.130 0.000 0.204 1
Nd1 0.063 0.000 0.719 1
Nd2 0.124 0.500 0.509 1
Nd3 0.193 0.500 0.999 1
Pd1 0.003 0.500 0.847 1
Pd2 0.219 0.000 0.619 1
# Crystal system: monoclinic
# Raw total energy, eV for the cell shown: -125.510
# ΔH_f (0 K), eV/atom: -0.430
# E above lowest polymorph, meV per atom: 71
# Mass density, g cm⁻³: 8.25

Record 18
# AcNdPd2 | Alexandria | GGA-PBE | optimized geometry
data_AcNdPd2
_chemical_formula_sum 'Ac2 Nd2 Pd4'
_space_group_name_H-M_alt 'A m m 2'
_space_group_IT_number 38
_cell_length_a 4.686
_cell_length_b 4.034
_cell_length_c 11.236
_cell_angle_alpha 90.00
_cell_angle_beta 90.00
_cell_angle_gamma 90.00
loop_
_space_group_symop_operation_xyz
'x,y,z'
'-x,-y,z'
'-x,y,z'
'x,-y,z'
'x,y+1/2,z+1/2'
'-x,-y+1/2,z+1/2'
'-x,y+1/2,z+1/2'
'x,-y+1/2,z+1/2'
loop_
_atom_site_label
_atom_site_fract_x
_atom_site_fract_y
_atom_site_fract_z
_atom_site_occupancy
Ac1 0.000 0.000 0.000 1
Nd1 0.500 0.000 0.729 1
Pd1 0.000 0.000 0.275 1
Pd2 0.500 0.000 0.446 1
# Crystal system: orthorhombic
# Raw total energy, eV for the cell shown: -44.911
# ΔH_f (0 K), eV/atom: -0.798
# E above lowest polymorph, meV per atom: 0
# Mass density, g cm⁻³: 9.13

Record 19
# AcNdSb2Pd2 | Alexandria | GGA-PBE | optimized geometry
data_AcNdSb2Pd2
_chemical_formula_sum 'Ac1 Nd1 Sb2 Pd2'
_space_group_name_H-M_alt 'P -3 m 1'
_space_group_IT_number 164
_space_group_name_Hall '-P 3 2"'
_cell_length_a 4.6654
_cell_length_b 4.6654
_cell_length_c 8.2977
_cell_angle_alpha 90.00
_cell_angle_beta 90.00
_cell_angle_gamma 120.00
loop_
_atom_site_label
_atom_site_fract_x
_atom_site_fract_y
_atom_site_fract_z
_atom_site_occupancy
Ac1 0.0000 0.0000 0.0000 1
Nd1 0.0000 0.0000 0.5000 1
Sb1 0.3333 0.6667 0.2634 1
Pd1 0.3333 0.6667 0.7319 1
# Crystal system: trigonal
# Raw total energy, eV for the cell shown: -34.035
# Formation energy without anion corrections, eV per atom: -1.09
# Mass density, g cm⁻³: 8.79

Record 20
# Ac2NdSb3Pd6 | Alexandria | GGA-PBE | optimized geometry
data_Ac2NdSb3Pd6
_chemical_formula_sum 'Ac2 Nd1 Sb3 Pd6'
_space_group_name_H-M_alt 'P 4/m m m'
_space_group_IT_number 123
_space_group_name_Hall '-P 4 2'
_cell_length_a 4.409
_cell_length_b 4.409
_cell_length_c 16.878
_cell_angle_alpha 90.00
_cell_angle_beta 90.00
_cell_angle_gamma 90.00
loop_
_atom_site_label
_atom_site_fract_x
_atom_site_fract_y
_atom_site_fract_z
_atom_site_occupancy
Ac1 0.000 0.000 0.199 1
Nd1 0.000 0.000 0.500 1
Sb1 0.500 0.500 0.000 1
Sb2 0.500 0.500 0.300 1
Pd1 0.000 0.500 0.384 1
Pd2 0.500 0.500 0.147 1
# Crystal system: tetragonal
# Raw total energy, eV for the cell shown: -63.399
# Formation energy without anion corrections, eV per atom: -0.57
# Mass density, g cm⁻³: 8.11